Entry from Alexandria via LeMat-Bulk: crystalline Re3Rh at its relaxed geometry (PBE).

Lattice parameters (Å, degrees): 4.777 8.897 5.551 90.00 90.00 90.00
Space group Pnma (No. 62)
Asymmetric unit:
Re  0.090  0.250  0.119 [4 per cell]
Re  0.249  0.000  0.371 [8 per cell]
Rh  0.084  0.250  0.623 [4 per cell]

Entry from Alexandria via LeMat-Bulk: crystalline ReRh2 at its relaxed geometry (PBE).

Lattice parameters (Å, degrees): 8.213 4.774 4.370 90.00 90.00 90.00
Space group Cmcm (No. 63)
Asymmetric unit:
Re  0.000  0.168  0.250 [4 per cell]
Rh  0.167  0.333  0.750 [8 per cell]

Entry from Alexandria via LeMat-Bulk: crystalline Re3Rh2 at its relaxed geometry (PBE).

Lattice parameters (Å, degrees): 9.393 13.300 4.757 90.00 90.00 90.00
Space group Fdd2 (No. 43)
Asymmetric unit:
Re  0.000  0.000  0.000 [8 per cell]
Re  0.047  0.397  0.054 [16 per cell]
Rh  0.035  0.296  0.568 [16 per cell]

Entry from Alexandria via LeMat-Bulk: crystalline ReRh2 at its relaxed geometry (PBE).

Lattice parameters (Å, degrees): 4.3320 4.3320 2.6796 90.00 90.00 120.00
Space group P6/mmm (No. 191)
Asymmetric unit:
Re  0.0000  0.0000  0.0000 [1 per cell]
Rh  0.3333  0.6667  0.5000 [2 per cell]

Entry from Alexandria via LeMat-Bulk: crystalline Re5Rh3 at its relaxed geometry (PBE).

Lattice parameters (Å, degrees): 5.491 3.896 6.110 90.00 116.27 90.00
Space group P2/m (No. 10)
Asymmetric unit:
Re  0.000  0.000  0.000 [1 per cell]
Re  0.128  0.500  0.752 [2 per cell]
Re  0.239  0.000  0.492 [2 per cell]
Rh  0.373  0.500  0.245 [2 per cell]
Rh  0.500  0.000  0.000 [1 per cell]

Entry from Alexandria via LeMat-Bulk: crystalline Re3Rh4 at its relaxed geometry (PBE).

Lattice parameters (Å, degrees): 5.0366 5.0366 4.8584 90.00 90.00 120.00
Space group P6/mmm (No. 191)
Asymmetric unit:
Re  0.0000  0.5000  0.0000 [3 per cell]
Rh  0.0000  0.0000  0.2568 [2 per cell]
Rh  0.3333  0.6667  0.5000 [2 per cell]

Entry from Alexandria via LeMat-Bulk: crystalline ReRh2 at its relaxed geometry (PBE).

Lattice parameters (Å, degrees): 2.672 4.068 17.445 90.00 90.00 90.00
Space group Imma (No. 74)
Asymmetric unit:
Re  0.000  0.250  0.104 [4 per cell]
Rh  0.000  0.250  0.542 [4 per cell]
Rh  0.000  0.250  0.688 [4 per cell]

Entry from Alexandria via LeMat-Bulk: crystalline Re3Rh at its relaxed geometry (PBE).

Lattice parameters (Å, degrees): 4.498 4.533 11.776 90.00 90.00 90.00
Space group Imma (No. 74)
Asymmetric unit:
Re  0.000  0.250  0.058 [4 per cell]
Re  0.000  0.250  0.315 [4 per cell]
Re  0.000  0.250  0.568 [4 per cell]
Rh  0.000  0.250  0.811 [4 per cell]

Entry from Alexandria via LeMat-Bulk: crystalline Re3Rh5 at its relaxed geometry (PBE).

Lattice parameters (Å, degrees): 10.331 9.517 5.183 90.00 115.49 90.00
Space group C2/c (No. 15)
Asymmetric unit:
Re  0.000  0.042  0.250 [4 per cell]
Re  0.126  0.292  0.502 [8 per cell]
Rh  0.000  0.463  0.750 [4 per cell]
Rh  0.126  0.208  0.005 [8 per cell]
Rh  0.247  0.041  0.741 [8 per cell]

Entry from Alexandria via LeMat-Bulk: crystalline ReRh2 at its relaxed geometry (PBE).

Lattice parameters (Å, degrees): 8.708 3.841 5.464 90.00 109.35 90.00
Space group C2/m (No. 12)
Asymmetric unit:
Re  0.173  0.000  0.340 [4 per cell]
Rh  0.000  0.500  0.000 [2 per cell]
Rh  0.000  0.500  0.500 [2 per cell]
Rh  0.167  0.000  0.830 [4 per cell]

Entry from Alexandria via LeMat-Bulk: crystalline ReRh2 at its relaxed geometry (PBE).

Lattice parameters (Å, degrees): 4.3515 4.3515 5.3931 90.00 90.00 120.00
Space group P6_3/mmc (No. 194)
Asymmetric unit:
Re  0.3333  0.6667  0.2500 [2 per cell]
Rh  0.0000  0.0000  0.0000 [2 per cell]
Rh  0.3333  0.6667  0.7500 [2 per cell]

Entry from Alexandria via LeMat-Bulk: crystalline Re5Rh3 at its relaxed geometry (PBE).

Lattice parameters (Å, degrees): 5.475 7.784 10.988 90.00 90.00 90.00
Space group Fmmm (No. 69)
Asymmetric unit:
Re  0.000  0.000  0.000 [4 per cell]
Re  0.250  0.250  0.121 [16 per cell]
Rh  0.000  0.000  0.251 [8 per cell]
Rh  0.000  0.000  0.500 [4 per cell]

Here are the calculated calculated formation energy numbers, same order: -0.038, -0.165, 0.052, 0.126, -0.035, 0.141, 0.256, 0.259, -0.101, -0.077, 0.197, -0.040 (eV/atom).